## Hg2BBr2 (GGA-PBE)

Data for a relaxed structure of Hg2BBr2.

POSCAR file:
```
Hg2BBr2
1.0
4.574 0.000 0.000
0.000 4.574 0.000
0.000 0.000 7.783
Hg B Br
2 1 2
Cartesian
0.000 2.287 0.000
2.287 0.000 0.000
0.000 0.000 3.892
0.000 2.287 3.892
2.287 0.000 3.892
```

Values from the calculation:
The value obtained for the uncorrected formation energy is 0.494 eV/atom. The crystal system is tetragonal.

***

## TcNiI2 (GGA-PBE)

Data for a relaxed structure of TcNiI2.

POSCAR file:
```
TcNiI2
1.0
-2.969 2.969 5.805
2.969 -2.969 5.805
2.969 2.969 -5.805
Tc Ni I
2 2 4
Cartesian
0.000 0.000 0.000
0.000 2.969 2.902
2.969 0.000 2.902
0.000 0.000 5.805
1.484 -1.396 4.353
1.573 1.484 1.451
1.484 4.365 -1.451
1.396 1.484 7.256
```

Values from the calculation:
The value obtained for the uncorrected formation energy is 0.674 eV/atom. The crystal system is tetragonal.

***

## Tb2NdDy6Ho (GGA-PBE)

Data for a relaxed structure of Tb2NdDy6Ho.

POSCAR file:
```
Tb2NdDy6Ho
1.0
4.534 -7.519 0.000
4.534 7.519 0.000
-1.238 0.000 9.482
Tb Nd Dy Ho
4 2 12 2
Cartesian
1.699 0.783 4.310
1.080 -0.783 9.051
6.749 0.783 0.431
6.130 -0.783 5.172
3.605 0.361 7.112
4.224 -0.361 2.371
2.538 5.894 8.353
1.806 3.387 6.485
4.672 5.894 5.870
3.883 2.816 0.539
4.565 2.816 4.202
5.404 3.387 7.739
2.425 -3.387 1.744
3.264 -2.816 5.280
3.946 -2.816 8.943
3.157 -5.894 3.612
6.023 -3.387 2.997
5.291 -5.894 1.129
4.224 6.153 2.371
3.605 -6.153 7.112
```

Values from the calculation:
As for the formation energy: 0.12 eV per atom. The crystal system is monoclinic.

***

## PmDyLuTl (GGA-PBE)

Data for a relaxed structure of PmDyLuTl.

POSCAR file:
```
PmDyLuTl
1.0
0.000 3.876 3.876
3.876 0.000 3.876
3.876 3.876 0.000
Pm Dy Lu Tl
1 1 1 1
Cartesian
0.000 0.000 0.000
3.876 3.876 3.876
1.938 1.938 1.938
5.814 5.814 5.814
```

Values from the calculation:
As for the formation energy: -0.05 eV per atom. The crystal system is cubic.

***

## TiSnS3 (GGA-PBE)

Data for a relaxed structure of TiSnS3.

POSCAR file:
```
TiSnS3
1.0
9.128 0.000 0.000
0.000 3.583 0.000
0.000 0.000 13.672
Ti Sn S
4 4 12
Cartesian
1.402 0.896 0.635
3.162 2.687 7.471
5.966 0.896 6.201
7.726 2.687 13.037
0.483 0.896 9.136
4.081 2.687 2.300
5.047 0.896 11.372
8.644 2.687 4.536
0.122 0.896 12.247
1.674 0.896 6.710
2.259 2.687 9.732
2.305 0.896 2.896
2.890 2.687 13.546
4.442 2.687 5.411
4.686 0.896 8.261
6.238 0.896 0.126
6.823 2.687 10.776
6.869 0.896 3.940
7.454 2.687 6.962
9.006 2.687 1.425
```

Values from the calculation:
The value obtained for the uncorrected formation energy is -0.940 eV/atom. The crystal system is orthorhombic.

***

## Th8PC6 (GGA-PBE)

Data for a relaxed structure of Th8PC6.

POSCAR file:
```
Th8PC6
1.0
5.095 2.942 3.901
-5.095 2.942 3.901
0.000 -5.884 3.901
Th P C
8 1 6
Cartesian
-3.476 0.600 4.956
-2.258 -2.710 6.748
0.000 0.000 2.882
1.218 -3.310 4.956
-1.218 3.310 6.748
0.000 0.000 8.822
2.258 2.710 4.956
3.476 -0.600 6.748
0.000 0.000 5.852
-4.206 -1.181 6.428
-1.080 -4.233 5.276
-3.126 3.052 5.276
3.126 -3.052 6.428
1.080 4.233 6.428
4.206 1.181 5.276
```

Values from the calculation:
As for the formation energy: -0.12 eV per atom. The crystal system is trigonal.

***

## Ta2Pd7Pt3 (GGA-PBE)

Data for a relaxed structure of Ta2Pd7Pt3.

POSCAR file:
```
Ta2Pd7Pt3
1.0
2.813 0.000 0.000
0.000 4.441 0.000
-1.414 0.000 16.647
Ta Pd Pt
2 7 3
Cartesian
-0.001 0.000 4.626
1.399 0.000 12.021
0.001 2.220 3.048
-0.004 0.000 7.134
-0.008 0.000 14.335
1.406 2.220 0.000
1.406 0.000 2.312
1.403 0.000 9.514
1.398 2.220 13.600
0.000 0.000 0.000
-0.007 2.220 10.975
1.405 2.220 5.673
```

Values from the calculation:
As for the formation energy: -0.11 eV per atom. The crystal system is monoclinic.

***

## Ag4IrOs (GGA-PBE)

Data for a relaxed structure of Ag4IrOs.

POSCAR file:
```
Ag4IrOs
1.0
0.000 3.720 3.720
3.720 0.000 3.720
3.720 3.720 0.000
Ag Ir Os
4 1 1
Cartesian
0.930 0.930 0.930
2.790 2.790 0.930
2.790 0.930 2.790
0.930 2.790 2.790
5.579 5.579 5.579
3.720 3.720 3.720
```

Values from the calculation:
As for the formation energy: 0.99 eV per atom. The crystal system is cubic.

***

Number 1: N(E_F) 0.24 states/eV/atom, electronic total energy -1.6310 eV per atom. Number 2: N(E_F) 1.32 states/eV/atom, electronic total energy -4.1376 eV per atom. Number 3: N(E_F) 1.42 states/eV/atom, electronic total energy -4.5029 eV per atom. Number 4: N(E_F) 1.52 states/eV/atom, electronic total energy -4.1146 eV per atom. Number 5: N(E_F) 0.00 states/eV/atom, electronic total energy -5.7959 eV per atom. Number 6: N(E_F) 0.58 states/eV/atom, electronic total energy -8.1235 eV per atom. Number 7: N(E_F) 0.79 states/eV/atom, electronic total energy -6.6262 eV per atom. Number 8: N(E_F) 0.42 states/eV/atom, electronic total energy -4.2580 eV per atom.